# 1
Here is crystalline ScNb2Ru2 at its relaxed geometry from Alexandria. Energies are from PBE.

Properties
ρ	8318	kg/m3
final energy	-45.953	eV/cell
DOS at the Fermi energy	4.018	states/eV/cell
space group	Cmmm (65)
crystal system	orthorhombic
energy of formation	-0.186	eV per atom

a b c (Å): 9.1044 9.1044 3.1086
angles (deg): 90.00 90.00 160.40
Last column: nearest neighbours and their distance in Å.
Positions (direct):
Sc  0.0000  0.0000  0.0000  8 Ru 2.79, 4 Sc 3.10-3.11
Nb  0.1834  0.8166  0.0000  4 Ru 2.70, 2 Nb 2.85
Nb  0.8166  0.1834  0.0000  4 Ru 2.70, 2 Nb 2.85
Ru  0.4043  0.5957  0.5000  4 Nb 2.70, 4 Sc 2.79
Ru  0.5957  0.4043  0.5000  4 Nb 2.70, 4 Sc 2.79


# 2
Here is crystalline ScNb2Ru2 at its relaxed geometry from Alexandria. Energies are from PBE.

Properties
ρ	8189	kg/m3
final energy	-91.264	eV/cell
DOS at the Fermi energy	11.182	states/eV/cell
space group	P4/mbm (127)
crystal system	tetragonal
energy of formation	-0.122	eV per atom

a b c (Å): 7.6959 7.6959 2.9642
angles (deg): 90.00 90.00 90.00
Last column: nearest neighbours and their distance in Å.
Positions (direct):
Sc  0.0000  0.0000  0.0000  4 Nb 2.94, 2 Sc 2.96, 8 Ru 3.29
Sc  0.5000  0.5000  0.0000  4 Nb 2.94, 2 Sc 2.96, 8 Ru 3.29
Nb  0.1478  0.3522  0.0000  6 Ru 2.66-2.73, 2 Sc 2.94, 2 Nb 2.96
Nb  0.3522  0.8522  0.0000  6 Ru 2.66-2.73, 2 Sc 2.94, 2 Nb 2.96
Nb  0.6478  0.1478  0.0000  6 Ru 2.66-2.73, 2 Sc 2.94, 2 Nb 2.96
Nb  0.8522  0.6478  0.0000  6 Ru 2.66-2.73, 2 Sc 2.94, 2 Nb 2.96
Ru  0.1497  0.6497  0.5000  6 Nb 2.66-2.73, 2 Ru 2.96
Ru  0.3503  0.1497  0.5000  6 Nb 2.66-2.73, 2 Ru 2.96
Ru  0.6497  0.8503  0.5000  6 Nb 2.66-2.73, 2 Ru 2.96
Ru  0.8503  0.3503  0.5000  6 Nb 2.66-2.73, 2 Ru 2.96


# 3
Here is crystalline Sc2NbRu3 at its relaxed geometry from Alexandria. Energies are from PBE.

Properties
ρ	8220	kg/m3
final energy	-54.023	eV/cell
DOS at the Fermi energy	1.227	states/eV/cell
space group	Cmmm (65)
crystal system	orthorhombic
energy of formation	-0.577	eV per atom

a b c (Å): 7.1386 7.1386 3.1913
angles (deg): 90.00 90.00 142.86
Last column: nearest neighbours and their distance in Å.
Positions (direct):
Sc  0.1681  0.8319  0.0000  8 Ru 2.78-2.83
Sc  0.8319  0.1681  0.0000  8 Ru 2.78-2.83
Nb  0.5000  0.5000  0.0000  8 Ru 2.68-2.78
Ru  0.0000  0.0000  0.5000  4 Nb 2.78, 4 Sc 2.78
Ru  0.3405  0.6595  0.5000  2 Nb 2.68, 6 Sc 2.78-2.83
Ru  0.6595  0.3405  0.5000  2 Nb 2.68, 6 Sc 2.78-2.83


# 4
Here is crystalline Sc5NbRu4 at its relaxed geometry from Alexandria. Energies are from PBE.

Properties
ρ	6911	kg/m3
final energy	-83.008	eV/cell
DOS at the Fermi energy	9.059	states/eV/cell
space group	P4/mmm (123)
crystal system	tetragonal
energy of formation	-0.418	eV per atom

a b c (Å): 3.2055 3.2055 16.8817
angles (deg): 90.00 90.00 90.00
Last column: nearest neighbours and their distance in Å.
Positions (direct):
Sc  0.0000  0.0000  0.0000  8 Ru 2.78
Sc  0.0000  0.0000  0.1892  8 Ru 2.76-2.82
Sc  0.0000  0.0000  0.3764  4 Ru 2.71
Sc  0.0000  0.0000  0.6236  4 Ru 2.71
Sc  0.0000  0.0000  0.8108  8 Ru 2.76-2.82
Nb  0.5000  0.5000  0.5000  8 Sc 3.08, 4 Nb 3.21
Ru  0.5000  0.5000  0.0955  8 Sc 2.76-2.78
Ru  0.5000  0.5000  0.2883  8 Sc 2.71-2.82
Ru  0.5000  0.5000  0.7117  8 Sc 2.71-2.82
Ru  0.5000  0.5000  0.9045  8 Sc 2.76-2.78


# 5
Here is crystalline ScNb2Ru2 at its relaxed geometry from Alexandria. Energies are from PBE.

Properties
ρ	8142	kg/m3
final energy	-91.674	eV/cell
DOS at the Fermi energy	8.285	states/eV/cell
space group	P4/mbm (127)
crystal system	tetragonal
energy of formation	-0.163	eV per atom

a b c (Å): 7.5561 7.5561 3.0926
angles (deg): 90.00 90.00 90.00
Last column: nearest neighbours and their distance in Å.
Positions (direct):
Sc  0.0000  0.0000  0.0000  4 Ru 2.93, 2 Sc 3.09, 8 Nb 3.23
Sc  0.5000  0.5000  0.0000  4 Ru 2.93, 2 Sc 3.09, 8 Nb 3.23
Nb  0.1602  0.3398  0.5000  6 Ru 2.66-2.74
Nb  0.3398  0.8398  0.5000  6 Ru 2.66-2.74
Nb  0.6602  0.1602  0.5000  6 Ru 2.66-2.74
Nb  0.8398  0.6602  0.5000  6 Ru 2.66-2.74
Ru  0.1376  0.6376  0.0000  6 Nb 2.66-2.74, 2 Sc 2.93, 1 Ru 2.94
Ru  0.3624  0.1376  0.0000  6 Nb 2.66-2.74, 2 Sc 2.93, 1 Ru 2.94
Ru  0.6376  0.8624  0.0000  6 Nb 2.66-2.74, 2 Sc 2.93, 1 Ru 2.94
Ru  0.8624  0.3624  0.0000  6 Nb 2.66-2.74, 2 Sc 2.93, 1 Ru 2.94


# 6
Here is crystalline Sc2NbRu3 at its relaxed geometry from Alexandria. Energies are from PBE.

Properties
ρ	8200	kg/m3
final energy	-53.968	eV/cell
DOS at the Fermi energy	0.771	states/eV/cell
space group	P4/mmm (123)
crystal system	tetragonal
energy of formation	-0.568	eV per atom

a b c (Å): 3.1957 3.1957 9.6378
angles (deg): 90.00 90.00 90.00
Last column: nearest neighbours and their distance in Å.
Positions (direct):
Sc  0.0000  0.0000  0.1621  8 Ru 2.75-2.85
Sc  0.0000  0.0000  0.8379  8 Ru 2.75-2.85
Nb  0.0000  0.0000  0.5000  8 Ru 2.72
Ru  0.5000  0.5000  0.0000  8 Sc 2.75
Ru  0.5000  0.5000  0.3423  4 Nb 2.72, 4 Sc 2.85, 1 Ru 3.04
Ru  0.5000  0.5000  0.6577  4 Nb 2.72, 4 Sc 2.85, 1 Ru 3.04


# 7
Here is crystalline Sc4NbRu5 at its relaxed geometry from Alexandria. Energies are from PBE.

Properties
ρ	7853	kg/m3
final energy	-87.320	eV/cell
DOS at the Fermi energy	5.749	states/eV/cell
space group	P4/mmm (123)
crystal system	tetragonal
energy of formation	-0.555	eV per atom

a b c (Å): 3.2003 3.2003 16.0634
angles (deg): 90.00 90.00 90.00
Last column: nearest neighbours and their distance in Å.
Positions (direct):
Sc  0.0000  0.0000  0.0996  8 Ru 2.77-2.80
Sc  0.0000  0.0000  0.2966  8 Ru 2.73-2.86
Sc  0.0000  0.0000  0.7034  8 Ru 2.73-2.86
Sc  0.0000  0.0000  0.9004  8 Ru 2.77-2.80
Nb  0.0000  0.0000  0.5000  8 Ru 2.72
Ru  0.5000  0.5000  0.0000  8 Sc 2.77
Ru  0.5000  0.5000  0.2019  8 Sc 2.73-2.80
Ru  0.5000  0.5000  0.4058  4 Nb 2.72, 4 Sc 2.86, 1 Ru 3.03
Ru  0.5000  0.5000  0.5942  4 Nb 2.72, 4 Sc 2.86, 1 Ru 3.03
Ru  0.5000  0.5000  0.7981  8 Sc 2.73-2.80


# 8
Here is crystalline Sc2Nb2Ru at its relaxed geometry from Alexandria. Energies are from PBE.

Properties
ρ	6150	kg/m3
final energy	-83.871	eV/cell
DOS at the Fermi energy	5.590	states/eV/cell
space group	P4/mbm (127)
crystal system	tetragonal
energy of formation	0.029	eV per atom

a b c (Å): 6.4988 6.4988 4.8181
angles (deg): 90.00 90.00 90.00
Last column: nearest neighbours and their distance in Å.
Positions (direct):
Sc  0.1679  0.3321  0.0000  6 Nb 2.97-3.15, 1 Sc 3.09
Sc  0.3321  0.8321  0.0000  6 Nb 2.97-3.15, 1 Sc 3.09
Sc  0.6679  0.1679  0.0000  6 Nb 2.97-3.15, 1 Sc 3.09
Sc  0.8321  0.6679  0.0000  6 Nb 2.97-3.15, 1 Sc 3.09
Nb  0.1433  0.6433  0.5000  2 Ru 2.50, 1 Nb 2.63
Nb  0.3567  0.1433  0.5000  2 Ru 2.50, 1 Nb 2.63
Nb  0.6433  0.8567  0.5000  2 Ru 2.50, 1 Nb 2.63
Nb  0.8567  0.3567  0.5000  2 Ru 2.50, 1 Nb 2.63
Ru  0.0000  0.0000  0.5000  4 Nb 2.50
Ru  0.5000  0.5000  0.5000  4 Nb 2.50


# 9
Here is crystalline Sc3NbRu at its relaxed geometry from Alexandria. Energies are from PBE.

Properties
ρ	4727	kg/m3
final energy	-33.133	eV/cell
DOS at the Fermi energy	7.113	states/eV/cell
space group	Pm-3m (221)
crystal system	cubic
energy of formation	1.041	eV per atom

a b c (Å): 4.8702 4.8702 4.8702
angles (deg): 90.00 90.00 90.00
Last column: nearest neighbours and their distance in Å.
Positions (direct):
Sc  0.0000  0.0000  0.5000  2 Nb 2.44
Sc  0.0000  0.5000  0.0000  2 Nb 2.44
Sc  0.5000  0.0000  0.0000  2 Nb 2.44
Nb  0.0000  0.0000  0.0000  6 Sc 2.44
Ru  0.5000  0.5000  0.5000  12 Sc 3.44


# 10
Here is crystalline ScNbTcRu at its relaxed geometry from Alexandria. Energies are from PBE.

Properties
ρ	8483	kg/m3
final energy	-37.704	eV/cell
DOS at the Fermi energy	3.938	states/eV/cell
space group	P4mm (99)
crystal system	tetragonal
energy of formation	-0.415	eV per atom

a b c (Å): 3.1977 3.1977 6.4503
angles (deg): 90.00 90.00 90.00
Last column: nearest neighbours and their distance in Å.
Positions (direct):
Sc  0.0000  0.0000  0.0000  4 Ru 2.81, 4 Tc 2.83
Nb  0.0000  0.0000  0.5028  4 Tc 2.72, 4 Ru 2.75
Tc  0.5000  0.5000  0.7359  4 Nb 2.72, 4 Sc 2.83
Ru  0.5000  0.5000  0.2589  4 Nb 2.75, 4 Sc 2.81, 1 Tc 3.08